VASP calculation (PBE) on a relaxed structure of Pr8P3Se3S.

Geometry as CIF:
```
data_Pr8P3Se3S
_chemical_formula_sum 'Pr24 P9 Se9 S3'
_cell_length_a 8.3660
_cell_length_b 8.3660
_cell_length_c 20.8686
_cell_angle_alpha 90.00
_cell_angle_beta 90.00
_cell_angle_gamma 120.00
_symmetry_space_group_name_H-M 'R -3 m'
_symmetry_Int_Tables_number 166
_symmetry_space_group_name_Hall '-R 3 2"'
loop_
_atom_site_label
_atom_site_type_symbol
_atom_site_fract_x
_atom_site_fract_y
_atom_site_fract_z
Pr1 Pr 0.0000 0.0000 0.2435
Pr2 Pr 0.0008 0.5004 0.7558
P1 P 0.0000 0.5000 0.5000
Se1 Se 0.0000 0.5000 0.0000
S1 S 0.0000 0.0000 0.5000
```

Properties
Magnetic moment (μB per formula unit): 0.00
Energy relative to the elements, uncorrected (meV/atom): -1657
Density (kg/m³): 5865